First-principles (PBE-GGA) data for crystalline ReOs4 at its relaxed geometry, as listed in the Alexandria database.

Volume = 92.3 Å³/f.u.
Space group = No. 229
ρ = 17.033 g/cm³
Energy above the lowest structure with this stoichiometry = 0.000 eV/atom

Unit cell a=4.932 b=4.932 c=4.932 alpha=109.47 beta=109.47 gamma=109.47
Sites, in units of the cell vectors:
Re 0.000 0.000 0.000
Os 0.500 0.000 0.000
Os 0.500 0.500 0.500
Os 0.000 0.500 0.000
Os 0.000 0.000 0.500